(1)
A plane-wave DFT calculation with GGA-PBE was carried out for an optimized crystal structure of Mn2GeC.

Calculated values
crystal system	orthorhombic
M_tot	3.4	μB/cell
E_form	137	meV/atom
density of states at the Fermi level	0.4406	states/eV/atom

Lattice parameters (Å, degrees): 4.422 4.422 4.422 143.61 113.07 78.65
Element x y z (fractional)
Mn 0.188 0.188 0.000
Mn 0.812 0.812 0.000
Ge 0.500 0.000 0.500
C 0.000 0.500 0.500

***

(2)
A plane-wave DFT calculation with GGA-PBE was carried out for an optimized crystal structure of Mn2GeC.

Calculated values
crystal system	cubic
M_tot	2.1	μB/cell
E_form	871	meV/atom
density of states at the Fermi level	0.6998	states/eV/atom

Lattice parameters (Å, degrees): 3.915 3.915 3.915 60.00 60.00 60.00
Element x y z (fractional)
Mn 0.250 0.250 0.250
Mn 0.750 0.750 0.750
Ge 0.000 0.000 0.000
C 0.500 0.500 0.500

***

(3)
A plane-wave DFT calculation with GGA-PBE was carried out for an optimized crystal structure of Mn21Ge2C6.

Calculated values
crystal system	cubic
M_tot	20.1	μB/cell
E_form	-62	meV/atom
density of states at the Fermi level	1.0334	states/eV/atom

Lattice parameters (Å, degrees): 7.408 7.408 7.408 60.00 60.00 60.00
Element x y z (fractional)
Mn 0.000 0.000 0.000
Mn 0.000 0.000 0.332
Mn 0.000 0.000 0.668
Mn 0.000 0.332 0.000
Mn 0.000 0.332 0.668
Mn 0.000 0.668 0.000
Mn 0.000 0.668 0.332
Mn 0.154 0.615 0.615
Mn 0.332 0.000 0.000
Mn 0.332 0.000 0.668
Mn 0.332 0.668 0.000
Mn 0.385 0.385 0.385
Mn 0.385 0.385 0.846
Mn 0.385 0.846 0.385
Mn 0.615 0.154 0.615
Mn 0.615 0.615 0.154
Mn 0.615 0.615 0.615
Mn 0.668 0.000 0.000
Mn 0.668 0.000 0.332
Mn 0.668 0.332 0.000
Mn 0.846 0.385 0.385
Ge 0.250 0.250 0.250
Ge 0.750 0.750 0.750
C 0.276 0.276 0.724
C 0.276 0.724 0.276
C 0.276 0.724 0.724
C 0.724 0.276 0.276
C 0.724 0.276 0.724
C 0.724 0.724 0.276

***

(4)
A plane-wave DFT calculation with GGA-PBE was carried out for an optimized crystal structure of Mn4GeC.

Calculated values
crystal system	monoclinic
M_tot	0.0	μB/cell
E_form	217	meV/atom
density of states at the Fermi level	0.7649	states/eV/atom

Lattice parameters (Å, degrees): 3.931 3.931 5.346 111.18 111.18 60.19
Element x y z (fractional)
Mn 0.123 0.123 0.368
Mn 0.324 0.324 0.971
Mn 0.676 0.676 0.029
Mn 0.877 0.877 0.632
Ge 0.500 0.500 0.500
C 0.000 0.000 0.000

***

(5)
A plane-wave DFT calculation with GGA-PBE was carried out for an optimized crystal structure of Mn2GeC.

Calculated values
crystal system	orthorhombic
M_tot	1.1	μB/cell
E_form	98	meV/atom
density of states at the Fermi level	0.6552	states/eV/atom

Lattice parameters (Å, degrees): 6.406 6.406 6.406 156.31 155.59 34.27
Element x y z (fractional)
Mn 0.000 0.000 0.000
Mn 0.823 0.323 0.500
Ge 0.178 0.678 0.500
C 0.443 0.443 0.000

***

(6)
A plane-wave DFT calculation with GGA-PBE was carried out for an optimized crystal structure of Mn2GeC.

Calculated values
crystal system	monoclinic
M_tot	2.0	μB/cell
E_form	45	meV/atom
density of states at the Fermi level	0.7487	states/eV/atom

Lattice parameters (Å, degrees): 2.891 2.891 6.569 102.91 102.91 60.06
Element x y z (fractional)
Mn 0.000 0.000 0.000
Mn 0.557 0.557 0.676
Ge 0.437 0.437 0.301
C 0.275 0.275 0.828

***

(7)
A plane-wave DFT calculation with GGA-PBE was carried out for an optimized crystal structure of Mn6GeC.

Calculated values
crystal system	triclinic
M_tot	8.7	μB/cell
E_form	190	meV/atom
density of states at the Fermi level	1.0477	states/eV/atom

Lattice parameters (Å, degrees): 4.646 4.883 5.020 61.93 83.44 75.56
Element x y z (fractional)
Mn 0.001 0.237 0.228
Mn 0.146 0.308 0.674
Mn 0.409 0.670 0.160
Mn 0.591 0.330 0.840
Mn 0.854 0.692 0.326
Mn 0.999 0.763 0.772
Ge 0.500 0.000 0.500
C 0.000 0.000 0.000

***

(8)
A plane-wave DFT calculation with GGA-PBE was carried out for an optimized crystal structure of Mn2GeC.

Calculated values
crystal system	hexagonal
M_tot	3.8	μB/cell
E_form	89	meV/atom
density of states at the Fermi level	0.5113	states/eV/atom

Lattice parameters (Å, degrees): 2.796 2.796 6.506 90.00 90.00 120.00
Element x y z (fractional)
Mn 0.000 0.000 0.190
Mn 0.000 0.000 0.810
Ge 0.667 0.333 0.500
C 0.667 0.333 0.000

***

no.,ρ (g/cm3)
1,7.01
2,7.62
3,7.92
4,7.76
5,7.41
6,7.03
7,7.07
8,7.33